Density functional theory data (PBE) for crystalline LiLuAgSn at its relaxed geometry.

Geometry as extended XYZ:
```
16
Lattice="6.9890 0.0000 0.0000 0.0000 6.9890 0.0000 0.0000 0.0000 6.9890" Properties=species:S:1:pos:R:3 pbc="T T T"
Li 0.0000 0.0000 0.0000
Li 0.0000 3.4945 3.4945
Li 3.4945 0.0000 3.4945
Li 3.4945 3.4945 0.0000
Lu 0.0000 0.0000 3.4945
Lu 0.0000 3.4945 0.0000
Lu 3.4945 0.0000 0.0000
Lu 3.4945 3.4945 3.4945
Ag 1.7472 1.7472 1.7472
Ag 1.7472 5.2417 5.2417
Ag 5.2417 1.7472 5.2417
Ag 5.2417 5.2417 1.7472
Sn 1.7472 1.7472 5.2417
Sn 1.7472 5.2417 1.7472
Sn 5.2417 1.7472 1.7472
Sn 5.2417 5.2417 5.2417
```

Computed properties:
Formation energy from the elements in eV per atom: -0.42
Density in g/cm3: 7.9
SG: F-43m